Entry 1:
Here is a relaxed Ba6SbS2I3 crystal from Alexandria. Energies are from GGA-PBE.

Unit cell a=8.2665 b=8.2665 c=8.7166 alpha=99.12 beta=99.12 gamma=119.96
Last column: nearest neighbours and their distance in Å.
Fractional positions:
Ba: 0.0813 0.4295 0.7888  2 S 3.21, 1 Sb 3.37
Ba: 0.2213 0.2213 0.2091  2 S 3.21, 1 Sb 3.36, 1 I 3.57
Ba: 0.4295 0.0813 0.7888  2 S 3.21, 1 Sb 3.37
Ba: 0.5705 0.9187 0.2112  2 S 3.21, 1 Sb 3.37
Ba: 0.7787 0.7787 0.7909  2 S 3.21, 1 Sb 3.36, 1 I 3.57
Ba: 0.9187 0.5705 0.2112  2 S 3.21, 1 Sb 3.37
Sb: 0.5000 0.5000 0.0000  6 Ba 3.36-3.37
S: 0.1671 0.8329 0.0000  6 Ba 3.21
S: 0.8329 0.1671 0.0000  6 Ba 3.21
I: 0.0000 0.0000 0.5000  6 Ba 3.57-3.69
I: 0.3383 0.6617 0.5000  6 Ba 3.60-3.70
I: 0.6617 0.3383 0.5000  6 Ba 3.60-3.70

Calculated values
- Energy relative to the elements, uncorrected: -1.61 eV/atom
- Crystal system: monoclinic
- Density of states at the Fermi level: 0.3724 states/eV per atom

---

Entry 2:
Here is a relaxed ZnPbAu4 crystal from Alexandria. Energies are from GGA-PBE.

Unit cell a=5.6091 b=5.6091 c=5.6091 alpha=60.00 beta=60.00 gamma=60.00
Last column: nearest neighbours and their distance in Å.
Fractional positions:
Zn: 0.0000 0.0000 0.0000  12 Au 3.29, 4 Pb 3.43
Pb: 0.2500 0.2500 0.2500  12 Au 3.29, 4 Zn 3.43
Au: 0.1235 0.6255 0.6255  6 Au 2.79-2.82
Au: 0.6255 0.1235 0.6255  6 Au 2.79-2.82
Au: 0.6255 0.6255 0.1235  6 Au 2.79-2.82
Au: 0.6255 0.6255 0.6255  6 Au 2.79-2.82

Calculated values
- E_tot: -2.9638 eV/atom
- Crystal system: cubic
- Density of states at the Fermi level: 0.4870 states/eV per atom

---

Entry 3:
Here is a relaxed YPdSe crystal from Alexandria. Energies are from GGA-PBE.

Unit cell a=5.3653 b=5.3653 c=6.8876 alpha=102.73 beta=102.73 gamma=43.71
Last column: nearest neighbours and their distance in Å.
Fractional positions:
Y: 0.1047 0.1047 0.2537  4 Se 2.89-2.93, 4 Pd 3.01-3.04
Y: 0.8953 0.8953 0.7463  4 Se 2.89-2.93, 4 Pd 3.01-3.04
Pd: 0.3808 0.3808 0.0683  3 Se 2.73-2.90, 1 Pd 2.75, 4 Y 3.01-3.04
Pd: 0.6192 0.6192 0.9317  3 Se 2.73-2.90, 1 Pd 2.75, 4 Y 3.01-3.04
Se: 0.1742 0.1742 0.6923  3 Pd 2.73-2.90, 4 Y 2.89-2.93
Se: 0.8258 0.8258 0.3077  3 Pd 2.73-2.90, 4 Y 2.89-2.93

Calculated values
- Energy relative to the elements, uncorrected: -1.26 eV/atom
- Crystal system: monoclinic

---

Entry 4:
Here is a relaxed La2FeC2 crystal from Alexandria. Energies are from GGA-PBE.

Unit cell a=6.1262 b=5.4043 c=10.5768 alpha=90.00 beta=90.00 gamma=90.00
Last column: nearest neighbours and their distance in Å.
Fractional positions:
La: 0.0078 0.2500 0.2417  4 C 2.70-3.00
La: 0.2419 0.2500 0.5460  4 C 2.63-2.72
La: 0.2581 0.7500 0.0460  4 C 2.63-2.72
La: 0.4922 0.7500 0.7417  4 C 2.70-3.00
La: 0.5078 0.2500 0.2583  4 C 2.70-3.00
La: 0.7419 0.2500 0.9540  4 C 2.63-2.72
La: 0.7581 0.7500 0.4540  4 C 2.63-2.72
La: 0.9922 0.7500 0.7583  4 C 2.70-3.00
Fe: 0.2471 0.2500 0.8455  3 C 1.80-1.84
Fe: 0.2529 0.7500 0.3455  3 C 1.80-1.84
Fe: 0.7471 0.2500 0.6545  3 C 1.80-1.84
Fe: 0.7529 0.7500 0.1545  3 C 1.80-1.84
C: 0.0034 0.7500 0.2497  2 Fe 1.83-1.84
C: 0.2476 0.7500 0.5161  1 Fe 1.80
C: 0.2524 0.2500 0.0161  1 Fe 1.80
C: 0.4966 0.2500 0.7497  2 Fe 1.83-1.84
C: 0.5034 0.7500 0.2503  2 Fe 1.83-1.84
C: 0.7476 0.7500 0.9839  1 Fe 1.80
C: 0.7524 0.2500 0.4839  1 Fe 1.80
C: 0.9966 0.2500 0.7503  2 Fe 1.83-1.84

Calculated values
- E_tot: -7.4552 eV/atom
- Crystal system: orthorhombic
- Density of states at the Fermi level: 0.5865 states/eV per atom

---

no.,V (Å³ per atom)
1,40.79
2,20.80
3,22.18
4,17.51